[1]
Here is a geometry-optimized Pm6Dy3Tl structure from the Alexandria database. Energies are from PBE.

Cell lengths 12.9129, 3.5569, 14.4952 Å; angles 90.00, 100.62, 90.00 degrees
Last column: nearest neighbours and their distance in Å.
Sites, in units of the cell vectors:
Pm (0.0114, 0.2500, 0.3090)  4 Dy 3.35-3.58, 7 Pm 3.56-3.67
Pm (0.1577, 0.2500, 0.8834)  4 Dy 3.43-3.59, 8 Pm 3.54-3.67
Pm (0.2533, 0.7500, 0.3036)  2 Tl 3.40, 1 Dy 3.52, 5 Pm 3.55-3.61
Pm (0.2685, 0.7500, 0.7137)  3 Dy 3.27-3.51, 1 Tl 3.36, 5 Pm 3.54-3.57
Pm (0.3103, 0.7500, 0.0729)  5 Dy 3.33-3.69, 5 Pm 3.55-3.56, 2 Tl 3.67
Pm (0.3884, 0.2500, 0.5358)  2 Tl 3.53, 8 Pm 3.56-3.92, 2 Dy 3.73
Pm (0.6116, 0.7500, 0.4642)  2 Tl 3.53, 8 Pm 3.56-3.92, 2 Dy 3.73
Pm (0.6897, 0.2500, 0.9271)  5 Dy 3.33-3.69, 5 Pm 3.55-3.56, 2 Tl 3.67
Pm (0.7315, 0.2500, 0.2863)  3 Dy 3.27-3.51, 1 Tl 3.36, 5 Pm 3.54-3.57
Pm (0.7467, 0.2500, 0.6964)  2 Tl 3.40, 1 Dy 3.52, 5 Pm 3.55-3.61
Pm (0.8423, 0.7500, 0.1166)  4 Dy 3.43-3.59, 8 Pm 3.54-3.67
Pm (0.9886, 0.7500, 0.6910)  4 Dy 3.35-3.58, 7 Pm 3.56-3.67
Dy (0.0788, 0.2500, 0.0965)  6 Pm 3.35-3.59, 4 Dy 3.56-3.61
Dy (0.1303, 0.7500, 0.5010)  5 Pm 3.27-3.58, 2 Dy 3.56
Dy (0.4278, 0.2500, 0.8947)  6 Pm 3.33-3.69, 2 Tl 3.46, 4 Dy 3.56-3.72
Dy (0.5722, 0.7500, 0.1053)  6 Pm 3.33-3.69, 2 Tl 3.46, 4 Dy 3.56-3.72
Dy (0.8697, 0.2500, 0.4990)  5 Pm 3.27-3.58, 2 Dy 3.56
Dy (0.9212, 0.7500, 0.9035)  6 Pm 3.35-3.59, 4 Dy 3.56-3.61
Tl (0.4685, 0.2500, 0.2717)  7 Pm 3.36-3.67, 2 Dy 3.46, 2 Tl 3.56
Tl (0.5315, 0.7500, 0.7283)  7 Pm 3.36-3.67, 2 Dy 3.46, 2 Tl 3.56

Output
Raw total energy ... -4.4573 eV/atom
Magnetic moment ... 0.00 μB/atom

[2]
Here is a geometry-optimized PmDy5Tl4 structure from the Alexandria database. Energies are from PBE.

Cell lengths 3.6104, 3.6104, 21.8880 Å; angles 90.00, 90.00, 90.00 degrees
Last column: nearest neighbours and their distance in Å.
Sites, in units of the cell vectors:
Pm (0.0000, 0.0000, 0.0000)  8 Dy 3.61, 4 Pm 3.61
Dy (0.5000, 0.5000, 0.1165)  4 Tl 3.30, 4 Pm 3.61, 4 Dy 3.61
Dy (0.5000, 0.5000, 0.3076)  8 Tl 3.30-3.31, 4 Dy 3.61
Dy (0.5000, 0.5000, 0.5000)  8 Tl 3.31, 4 Dy 3.61
Dy (0.5000, 0.5000, 0.6924)  8 Tl 3.30-3.31, 4 Dy 3.61
Dy (0.5000, 0.5000, 0.8835)  4 Tl 3.30, 4 Pm 3.61, 4 Dy 3.61
Tl (0.0000, 0.0000, 0.2118)  8 Dy 3.30, 4 Tl 3.61
Tl (0.0000, 0.0000, 0.4041)  8 Dy 3.31, 4 Tl 3.61
Tl (0.0000, 0.0000, 0.5959)  8 Dy 3.31, 4 Tl 3.61
Tl (0.0000, 0.0000, 0.7882)  8 Dy 3.30, 4 Tl 3.61

Output
Raw total energy ... -3.9956 eV/atom
Magnetic moment ... 0.01 μB/atom

[3]
Here is a geometry-optimized PmDyTl structure from the Alexandria database. Energies are from PBE.

Cell lengths 5.2514, 5.2514, 5.2514 Å; angles 60.00, 60.00, 60.00 degrees
Last column: nearest neighbours and their distance in Å.
Sites, in units of the cell vectors:
Pm (0.0000, 0.0000, 0.0000)  4 Tl 3.22
Dy (0.5000, 0.5000, 0.5000)  4 Tl 3.22
Tl (0.7500, 0.7500, 0.7500)  4 Dy 3.22, 4 Pm 3.22

Output
Raw total energy ... -3.9431 eV/atom
Magnetic moment ... 0.09 μB/atom

[4]
Here is a geometry-optimized Pm3Dy5Tl2 structure from the Alexandria database. Energies are from PBE.

Cell lengths 10.5966, 10.5966, 10.5966 Å; angles 104.70, 86.18, 144.38 degrees
Last column: nearest neighbours and their distance in Å.
Sites, in units of the cell vectors:
Pm (0.2379, 0.1189, 0.3568)  4 Dy 3.44-3.58, 4 Tl 3.55-3.66
Pm (0.2500, 0.2500, 0.0000)  2 Pm 3.24, 2 Dy 3.28, 4 Tl 3.28
Pm (0.2621, 0.6189, 0.8810)  4 Dy 3.44-3.58, 4 Tl 3.55-3.66
Pm (0.7379, 0.3811, 0.1190)  4 Dy 3.44-3.58, 4 Tl 3.55-3.66
Pm (0.7500, 0.7500, 0.0000)  2 Pm 3.24, 2 Dy 3.28, 4 Tl 3.28
Pm (0.7621, 0.8811, 0.6432)  4 Dy 3.44-3.58, 4 Tl 3.55-3.66
Dy (0.1637, 0.3807, 0.5444)  1 Tl 2.95
Dy (0.2500, 0.5034, 0.2534)  2 Tl 3.17, 5 Dy 3.19-3.43, 1 Pm 3.28
Dy (0.2500, 0.7500, 0.5000)  8 Dy 3.19-3.38
Dy (0.2500, 0.9966, 0.7466)  2 Tl 3.17, 5 Dy 3.19-3.43, 1 Pm 3.28
Dy (0.3363, 0.8807, 0.2170)  1 Tl 2.95
Dy (0.6637, 0.1193, 0.7830)  1 Tl 2.95
Dy (0.7500, 0.0034, 0.2534)  2 Tl 3.17, 5 Dy 3.19-3.43, 1 Pm 3.28
Dy (0.7500, 0.2500, 0.5000)  8 Dy 3.19-3.38
Dy (0.7500, 0.4966, 0.7466)  2 Tl 3.17, 5 Dy 3.19-3.43, 1 Pm 3.28
Dy (0.8363, 0.6193, 0.4556)  1 Tl 2.95
Tl (0.1459, 0.8649, 0.0107)  3 Dy 2.95-3.17, 2 Pm 3.28
Tl (0.3541, 0.3649, 0.7190)  3 Dy 2.95-3.17, 2 Pm 3.28
Tl (0.6459, 0.6351, 0.2810)  3 Dy 2.95-3.17, 2 Pm 3.28
Tl (0.8541, 0.1351, 0.9893)  3 Dy 2.95-3.17, 2 Pm 3.28

Output
Raw total energy ... -4.1099 eV/atom
Magnetic moment ... 0.00 μB/atom

[5]
Here is a geometry-optimized Pm2DyTl structure from the Alexandria database. Energies are from PBE.

Cell lengths 5.5622, 5.5622, 5.5622 Å; angles 60.00, 60.00, 60.00 degrees
Last column: nearest neighbours and their distance in Å.
Sites, in units of the cell vectors:
Pm (0.2500, 0.2500, 0.2500)  4 Tl 3.41, 4 Dy 3.41
Pm (0.7500, 0.7500, 0.7500)  4 Tl 3.41, 4 Dy 3.41
Dy (0.0000, 0.0000, 0.0000)  8 Pm 3.41
Tl (0.5000, 0.5000, 0.5000)  8 Pm 3.41

Output
Raw total energy ... -4.1783 eV/atom
Magnetic moment ... 0.33 μB/atom

[6]
Here is a geometry-optimized Pm3Dy4Tl structure from the Alexandria database. Energies are from PBE.

Cell lengths 4.1594, 4.1594, 14.4783 Å; angles 90.00, 90.00, 90.00 degrees
Last column: nearest neighbours and their distance in Å.
Sites, in units of the cell vectors:
Pm (0.0000, 0.0000, 0.0000)  8 Dy 3.51, 2 Pm 3.65
Pm (0.0000, 0.0000, 0.2520)  8 Dy 3.42-3.54, 1 Tl 3.59, 1 Pm 3.65
Pm (0.0000, 0.0000, 0.7480)  8 Dy 3.42-3.54, 1 Tl 3.59, 1 Pm 3.65
Dy (0.5000, 0.5000, 0.1318)  8 Pm 3.42-3.51, 2 Dy 3.72-3.82
Dy (0.5000, 0.5000, 0.3887)  1 Dy 3.22, 4 Tl 3.35, 4 Pm 3.54
Dy (0.5000, 0.5000, 0.6113)  1 Dy 3.22, 4 Tl 3.35, 4 Pm 3.54
Dy (0.5000, 0.5000, 0.8682)  8 Pm 3.42-3.51, 2 Dy 3.72-3.82
Tl (0.0000, 0.0000, 0.5000)  8 Dy 3.35, 2 Pm 3.59

Output
Raw total energy ... -4.3640 eV/atom
Magnetic moment ... 0.00 μB/atom

[7]
Here is a geometry-optimized PmDy5Tl3 structure from the Alexandria database. Energies are from PBE.

Cell lengths 9.4102, 9.4102, 6.7388 Å; angles 90.00, 90.00, 120.00 degrees
Last column: nearest neighbours and their distance in Å.
Sites, in units of the cell vectors:
Pm (0.0000, 0.0000, 0.0000)  2 Pm 3.37, 6 Dy 3.54, 6 Tl 3.60
Pm (0.0000, 0.0000, 0.5000)  2 Pm 3.37, 6 Dy 3.54, 6 Tl 3.60
Dy (0.0000, 0.3308, 0.2500)  5 Tl 3.11-3.37
Dy (0.0000, 0.6692, 0.7500)  5 Tl 3.11-3.37
Dy (0.3308, 0.0000, 0.2500)  5 Tl 3.11-3.37
Dy (0.3308, 0.3308, 0.7500)  5 Tl 3.11-3.37
Dy (0.3333, 0.6667, 0.0000)  8 Dy 3.37-3.57, 6 Tl 3.54
Dy (0.3333, 0.6667, 0.5000)  8 Dy 3.37-3.57, 6 Tl 3.54
Dy (0.6667, 0.3333, 0.0000)  8 Dy 3.37-3.57, 6 Tl 3.54
Dy (0.6667, 0.3333, 0.5000)  8 Dy 3.37-3.57, 6 Tl 3.54
Dy (0.6692, 0.0000, 0.7500)  5 Tl 3.11-3.37
Dy (0.6692, 0.6692, 0.2500)  5 Tl 3.11-3.37
Tl (0.0000, 0.3384, 0.7500)  5 Dy 3.11-3.37
Tl (0.0000, 0.6616, 0.2500)  5 Dy 3.11-3.37
Tl (0.3384, 0.0000, 0.7500)  5 Dy 3.11-3.37
Tl (0.3384, 0.3384, 0.2500)  5 Dy 3.11-3.37
Tl (0.6616, 0.0000, 0.2500)  5 Dy 3.11-3.37
Tl (0.6616, 0.6616, 0.7500)  5 Dy 3.11-3.37

Output
Raw total energy ... -4.1339 eV/atom
Magnetic moment ... 0.11 μB/atom

[8]
Here is a geometry-optimized Pm2Dy2Tl structure from the Alexandria database. Energies are from PBE.

Cell lengths 6.4048, 6.4048, 8.5656 Å; angles 107.15, 107.15, 95.98 degrees
Last column: nearest neighbours and their distance in Å.
Sites, in units of the cell vectors:
Pm (0.1084, 0.7363, 0.7868)  2 Tl 3.13-3.37, 1 Pm 3.29, 2 Dy 3.44-3.50
Pm (0.2637, 0.8916, 0.2132)  2 Tl 3.13-3.37, 1 Pm 3.29, 2 Dy 3.44-3.50
Pm (0.7363, 0.1084, 0.7868)  2 Tl 3.13-3.37, 1 Pm 3.29, 2 Dy 3.44-3.50
Pm (0.8916, 0.2637, 0.2132)  2 Tl 3.13-3.37, 1 Pm 3.29, 2 Dy 3.44-3.50
Dy (0.2217, 0.2217, 0.6127)  4 Tl 3.35-3.59, 3 Dy 3.42-3.57, 4 Pm 3.44-3.56
Dy (0.3452, 0.3452, 0.0693)  3 Dy 3.35-3.57, 4 Pm 3.50-3.52, 2 Tl 3.69
Dy (0.6548, 0.6548, 0.9307)  3 Dy 3.35-3.57, 4 Pm 3.50-3.52, 2 Tl 3.69
Dy (0.7783, 0.7783, 0.3873)  4 Tl 3.35-3.59, 3 Dy 3.42-3.57, 4 Pm 3.44-3.56
Tl (0.3311, 0.6689, 0.5000)  4 Pm 3.13-3.37, 1 Tl 3.21, 2 Dy 3.35
Tl (0.6689, 0.3311, 0.5000)  4 Pm 3.13-3.37, 1 Tl 3.21, 2 Dy 3.35

Output
Raw total energy ... -4.2662 eV/atom
Magnetic moment ... 0.00 μB/atom

[9]
Here is a geometry-optimized PmDy6Tl5 structure from the Alexandria database. Energies are from PBE.

Cell lengths 9.1656, 9.1656, 9.1656 Å; angles 148.10, 122.80, 67.01 degrees
Last column: nearest neighbours and their distance in Å.
Sites, in units of the cell vectors:
Pm (0.0000, 0.0000, 0.0000)  4 Tl 3.40, 8 Dy 3.49
Dy (0.0945, 0.8297, 0.2648)  7 Tl 3.26-3.45, 1 Pm 3.49, 4 Dy 3.51-3.62
Dy (0.2752, 0.5000, 0.7752)  6 Tl 3.20-3.39, 2 Pm 3.49
Dy (0.4351, 0.1703, 0.2648)  7 Tl 3.26-3.45, 1 Pm 3.49, 4 Dy 3.51-3.62
Dy (0.5649, 0.8297, 0.7352)  7 Tl 3.26-3.45, 1 Pm 3.49, 4 Dy 3.51-3.62
Dy (0.7248, 0.5000, 0.2248)  6 Tl 3.20-3.39, 2 Pm 3.49
Dy (0.9055, 0.1703, 0.7352)  7 Tl 3.26-3.45, 1 Pm 3.49, 4 Dy 3.51-3.62
Tl (0.1491, 0.6491, 0.5000)  8 Dy 3.32-3.45, 2 Pm 3.40, 2 Tl 3.62
Tl (0.3196, 0.3196, 0.0000)  8 Dy 3.26-3.39, 2 Tl 3.62
Tl (0.5000, 0.0000, 0.5000)  8 Dy 3.20-3.32
Tl (0.6804, 0.6804, 0.0000)  8 Dy 3.26-3.39, 2 Tl 3.62
Tl (0.8509, 0.3509, 0.5000)  8 Dy 3.32-3.45, 2 Pm 3.40, 2 Tl 3.62

Output
Raw total energy ... -3.9559 eV/atom
Magnetic moment ... 0.00 μB/atom

[10]
Here is a geometry-optimized Pm8DyTl6 structure from the Alexandria database. Energies are from PBE.

Cell lengths 8.5128, 8.5128, 8.5128 Å; angles 66.14, 66.14, 66.14 degrees
Last column: nearest neighbours and their distance in Å.
Sites, in units of the cell vectors:
Pm (0.0533, 0.7237, 0.3896)  5 Tl 3.23-3.38
Pm (0.1656, 0.1656, 0.1656)  6 Tl 3.33-3.34
Pm (0.2763, 0.6104, 0.9467)  5 Tl 3.23-3.38
Pm (0.3896, 0.0533, 0.7237)  5 Tl 3.23-3.38
Pm (0.6104, 0.9467, 0.2763)  5 Tl 3.23-3.38
Pm (0.7237, 0.3896, 0.0533)  5 Tl 3.23-3.38
Pm (0.8344, 0.8344, 0.8344)  6 Tl 3.33-3.34
Pm (0.9467, 0.2763, 0.6104)  5 Tl 3.23-3.38
Dy (0.5000, 0.5000, 0.5000)  6 Tl 3.27
Tl (0.1124, 0.4410, 0.7687)  7 Pm 3.23-3.38, 1 Dy 3.27
Tl (0.2313, 0.8876, 0.5590)  7 Pm 3.23-3.38, 1 Dy 3.27
Tl (0.4410, 0.7687, 0.1124)  7 Pm 3.23-3.38, 1 Dy 3.27
Tl (0.5590, 0.2313, 0.8876)  7 Pm 3.23-3.38, 1 Dy 3.27
Tl (0.7687, 0.1124, 0.4410)  7 Pm 3.23-3.38, 1 Dy 3.27
Tl (0.8876, 0.5590, 0.2313)  7 Pm 3.23-3.38, 1 Dy 3.27

Output
Raw total energy ... -3.9482 eV/atom
Magnetic moment ... 0.00 μB/atom